# 1
Density functional theory data (PBE) for PmErTlZn after structural relaxation.

Unit cell a=5.2760 b=5.2760 c=5.2760 alpha=60.00 beta=60.00 gamma=60.00
Atoms (fractional coordinates):
Pm 0.0000 0.0000 0.0000
Er 0.5000 0.5000 0.5000
Tl 0.7500 0.7500 0.7500
Zn 0.2500 0.2500 0.2500

Computed properties:
- total moment (μB per formula unit) = 0.00
- polymorph energy (0 for the lowest one) (meV/atom) = 29.5
- space group = No. 216
- DFT formation energy (eV/atom) = -0.320



# 2
Density functional theory data (PBE) for CeHfRh2 after structural relaxation.

Unit cell a=3.2098 b=3.2098 c=7.4109 alpha=90.00 beta=90.00 gamma=90.00
Atoms (fractional coordinates):
Ce 0.0000 0.0000 0.0000
Hf 0.0000 0.0000 0.5000
Rh 0.5000 0.5000 0.2875
Rh 0.5000 0.5000 0.7125

Computed properties:
- total moment (μB per formula unit) = 0.01
- space group = No. 123
- DFT formation energy (eV/atom) = -0.782



# 3
Density functional theory data (PBE) for Li5Cd8In after structural relaxation.

Unit cell a=7.3166 b=7.3166 c=7.3166 alpha=112.65 beta=112.65 gamma=103.29
Atoms (fractional coordinates):
Li 0.0000 0.0000 0.0000
Li 0.2971 0.6283 0.0809
Li 0.3717 0.4527 0.6688
Li 0.5473 0.2162 0.9191
Li 0.7838 0.7029 0.3312
Cd 0.0133 0.4150 0.2572
Cd 0.0979 0.1483 0.7382
Cd 0.1579 0.7561 0.7428
Cd 0.2439 0.9867 0.4018
Cd 0.4100 0.3597 0.2618
Cd 0.5850 0.8421 0.5982
Cd 0.6403 0.9021 0.0504
Cd 0.8517 0.5900 0.9496
In 0.7500 0.2500 0.5000

Computed properties:
- total moment (μB per formula unit) = 0.00
- space group = No. 82
- DFT formation energy (eV/atom) = -0.112



# 4
Density functional theory data (PBE) for PS2I after structural relaxation.

Unit cell a=6.5054 b=6.5054 c=6.5054 alpha=115.37 beta=115.37 gamma=98.22
Atoms (fractional coordinates):
P 0.0000 0.0000 0.0000
P 0.7500 0.2500 0.5000
S 0.0093 0.1250 0.3843
S 0.3750 0.9907 0.1157
S 0.7407 0.6250 0.6157
S 0.8750 0.2593 0.8843
I 0.2500 0.7500 0.5000
I 0.5000 0.5000 0.0000

Computed properties:
- total moment (μB per formula unit) = 0.00
- polymorph energy (0 for the lowest one) (meV/atom) = 333.2
- space group = No. 122



# 5
Density functional theory data (PBE) for FeRe2Pb after structural relaxation.

Unit cell a=9.4485 b=9.4485 c=9.4485 alpha=17.72 beta=17.72 gamma=17.72
Atoms (fractional coordinates):
Fe 0.0000 0.0000 0.0000
Re 0.2586 0.2586 0.2586
Re 0.5180 0.5180 0.5180
Pb 0.7559 0.7559 0.7559

Computed properties:
- total moment (μB per formula unit) = 2.50
- space group = No. 160
- DFT formation energy (eV/atom) = 0.632



# 6
Density functional theory data (PBE) for Tb2Y5Sc4 after structural relaxation.

Unit cell a=8.7327 b=3.5170 c=10.7903 alpha=90.00 beta=94.89 gamma=90.00
Atoms (fractional coordinates):
Tb 0.0763 0.0000 0.1367
Tb 0.9237 0.0000 0.8633
Y 0.1467 0.0000 0.6327
Y 0.4548 0.0000 0.1657
Y 0.5000 0.0000 0.5000
Y 0.5452 0.0000 0.8343
Y 0.8533 0.0000 0.3673
Sc 0.2023 0.5000 0.3699
Sc 0.2453 0.5000 0.9258
Sc 0.7547 0.5000 0.0742
Sc 0.7977 0.5000 0.6301

Computed properties:
- total moment (μB per formula unit) = 0.00
- polymorph energy (0 for the lowest one) (meV/atom) = 7.1
- space group = No. 10
- DFT formation energy (eV/atom) = 0.104



# 7
Density functional theory data (PBE) for BaCaPmTl after structural relaxation.

Unit cell a=5.9178 b=5.9178 c=5.9178 alpha=60.00 beta=60.00 gamma=60.00
Atoms (fractional coordinates):
Ba 0.0000 0.0000 0.0000
Ca 0.7500 0.7500 0.7500
Pm 0.5000 0.5000 0.5000
Tl 0.2500 0.2500 0.2500

Computed properties:
- total moment (μB per formula unit) = 0.00
- space group = No. 216
- DFT formation energy (eV/atom) = -0.053



# 8
Density functional theory data (PBE) for InTcNi after structural relaxation.

Unit cell a=4.5490 b=4.5490 c=5.6626 alpha=98.74 beta=98.74 gamma=53.12
Atoms (fractional coordinates):
In 0.0000 0.0000 0.0000
In 0.6873 0.6873 0.3278
Tc 0.3417 0.3417 0.6765
Tc 0.6674 0.6674 0.7982
Ni 0.0144 0.0144 0.5053
Ni 0.3371 0.3371 0.1635

Computed properties:
- total moment (μB per formula unit) = 0.00
- polymorph energy (0 for the lowest one) (meV/atom) = 93.3
- space group = No. 8
- DFT formation energy (eV/atom) = 0.132



# 9
Density functional theory data (PBE) for K6LiBi2 after structural relaxation.

Unit cell a=12.1194 b=12.1194 c=12.1194 alpha=30.07 beta=30.07 gamma=30.07
Atoms (fractional coordinates):
K 0.0754 0.0754 0.0754
K 0.2021 0.2021 0.2021
K 0.3119 0.3119 0.3119
K 0.6881 0.6881 0.6881
K 0.7979 0.7979 0.7979
K 0.9246 0.9246 0.9246
Li 0.5000 0.5000 0.5000
Bi 0.4193 0.4193 0.4193
Bi 0.5807 0.5807 0.5807

Computed properties:
- total moment (μB per formula unit) = 0.53
- space group = No. 166
- DFT formation energy (eV/atom) = -0.306



# 10
Density functional theory data (PBE) for Nd2Tm5Th4 after structural relaxation.

Unit cell a=3.5702 b=8.6667 c=11.8730 alpha=104.84 beta=98.59 gamma=90.05
Atoms (fractional coordinates):
Nd 0.0901 0.2217 0.1811
Nd 0.9099 0.7783 0.8189
Tm 0.0000 0.5000 0.0000
Tm 0.2704 0.6835 0.5406
Tm 0.3630 0.3994 0.7263
Tm 0.6370 0.6006 0.2737
Tm 0.7296 0.3165 0.4594
Th 0.1831 0.9556 0.3655
Th 0.4532 0.1391 0.9066
Th 0.5468 0.8609 0.0934
Th 0.8169 0.0444 0.6345

Computed properties:
- total moment (μB per formula unit) = 0.00
- space group = No. 2
- DFT formation energy (eV/atom) = 0.036



# 11
Density functional theory data (PBE) for CePr2In3Te6 after structural relaxation.

Unit cell a=7.8852 b=7.8852 c=8.5403 alpha=98.85 beta=98.85 gamma=120.00
Atoms (fractional coordinates):
Ce 0.0000 0.0000 0.0000
Pr 0.3335 0.6665 0.0000
Pr 0.6665 0.3335 0.0000
In 0.1677 0.8323 0.5000
In 0.5000 0.5000 0.5000
In 0.8323 0.1677 0.5000
Te 0.0756 0.4077 0.2271
Te 0.2561 0.2561 0.7725
Te 0.4077 0.0756 0.2271
Te 0.5923 0.9244 0.7729
Te 0.7439 0.7439 0.2275
Te 0.9244 0.5923 0.7729

Computed properties:
- DFT total energy (eV per atom) = -4.51
- total moment (μB per formula unit) = 1.02
- space group = No. 12



# 12
Density functional theory data (PBE) for LiAuIN2 after structural relaxation.

Unit cell a=3.9024 b=3.9024 c=8.3400 alpha=90.00 beta=90.00 gamma=90.00
Atoms (fractional coordinates):
Li 0.0000 0.0000 0.0000
Au 0.5000 0.5000 0.5000
I 0.5000 0.5000 0.0000
N 0.0000 0.5000 0.5000
N 0.5000 0.0000 0.5000

Computed properties:
- total moment (μB per formula unit) = 0.16
- polymorph energy (0 for the lowest one) (meV/atom) = 0.0
- space group = No. 123



# 13
Density functional theory data (PBE) for ZrCu2Sn2 after structural relaxation.

Unit cell a=5.9188 b=5.9188 c=5.9188 alpha=136.28 beta=136.28 gamma=63.54
Atoms (fractional coordinates):
Zr 0.0000 0.0000 0.0000
Cu 0.3881 0.3881 0.0000
Cu 0.6119 0.6119 0.0000
Sn 0.2500 0.7500 0.5000
Sn 0.7500 0.2500 0.5000

Computed properties:
- total moment (μB per formula unit) = 0.00
- space group = No. 139
- DFT formation energy (eV/atom) = 0.039



# 14
Density functional theory data (PBE) for Nb3CdGa after structural relaxation.

Unit cell a=4.9756 b=4.9756 c=4.9756 alpha=90.00 beta=90.00 gamma=90.00
Atoms (fractional coordinates):
Nb 0.0000 0.0000 0.5000
Nb 0.0000 0.5000 0.0000
Nb 0.5000 0.0000 0.0000
Cd 0.0000 0.0000 0.0000
Ga 0.5000 0.5000 0.5000

Computed properties:
- total moment (μB per formula unit) = 0.00
- polymorph energy (0 for the lowest one) (meV/atom) = 900.8
- space group = No. 221
- DFT formation energy (eV/atom) = 1.815



# 15
Density functional theory data (PBE) for BaTl7In5 after structural relaxation.

Unit cell a=8.5647 b=8.5647 c=6.3147 alpha=111.42 beta=111.42 gamma=81.35
Atoms (fractional coordinates):
Ba 0.0000 0.0000 0.0000
Tl 0.2037 0.7997 0.5020
Tl 0.2222 0.2222 0.7250
Tl 0.3555 0.6489 0.0025
Tl 0.3567 0.3567 0.3588
Tl 0.6439 0.6439 0.6409
Tl 0.6489 0.3555 0.0025
Tl 0.7997 0.2037 0.5020
In 0.5058 0.9971 0.5010
In 0.5068 0.9968 0.0014
In 0.7828 0.7828 0.2802
In 0.9971 0.5058 0.5010
In 0.9968 0.5068 0.0014

Computed properties:
- total moment (μB per formula unit) = 0.00
- space group = No. 8
- DFT formation energy (eV/atom) = -0.083



# 16
Density functional theory data (PBE) for MgSnIN2 after structural relaxation.

Unit cell a=4.4121 b=4.4121 c=5.6851 alpha=90.00 beta=90.00 gamma=90.00
Atoms (fractional coordinates):
Mg 0.0000 0.0000 0.0000
Sn 0.5000 0.5000 0.5000
I 0.0000 0.0000 0.5000
N 0.0000 0.5000 0.0000
N 0.5000 0.0000 0.0000

Computed properties:
- total moment (μB per formula unit) = 3.01
- polymorph energy (0 for the lowest one) (meV/atom) = 130.7
- space group = No. 123



# 17
Density functional theory data (PBE) for LaEr2Ni after structural relaxation.

Unit cell a=3.4330 b=3.4330 c=8.8927 alpha=90.00 beta=90.00 gamma=90.00
Atoms (fractional coordinates):
La 0.0000 0.0000 0.0000
Er 0.5000 0.5000 0.3219
Er 0.5000 0.5000 0.6781
Ni 0.0000 0.0000 0.5000

Computed properties:
- total moment (μB per formula unit) = 0.00
- polymorph energy (0 for the lowest one) (meV/atom) = 3.8
- space group = No. 123
- DFT formation energy (eV/atom) = -0.201



# 18
Density functional theory data (PBE) for Rb3ThSb2O9 after structural relaxation.

Unit cell a=6.0043 b=6.0043 c=7.4086 alpha=90.00 beta=90.00 gamma=120.00
Atoms (fractional coordinates):
Rb 0.0000 0.0000 0.0000
Rb 0.3333 0.6667 0.6701
Rb 0.6667 0.3333 0.3299
Th 0.0000 0.0000 0.5000
Sb 0.3333 0.6667 0.1586
Sb 0.6667 0.3333 0.8414
O 0.0000 0.5000 0.0000
O 0.1766 0.3532 0.3134
O 0.1766 0.8234 0.3134
O 0.3532 0.1766 0.6866
O 0.5000 0.0000 0.0000
O 0.5000 0.5000 0.0000
O 0.6468 0.8234 0.3134
O 0.8234 0.1766 0.6866
O 0.8234 0.6468 0.6866

Computed properties:
- DFT total energy (eV per atom) = -6.08
- total moment (μB per formula unit) = 0.73
- space group = No. 164



# 19
Density functional theory data (PBE) for Tb3HoNi after structural relaxation.

Unit cell a=7.4914 b=6.5086 c=5.9823 alpha=90.00 beta=90.00 gamma=90.00
Atoms (fractional coordinates):
Tb 0.0000 0.1543 0.0000
Tb 0.2486 0.6862 0.0030
Tb 0.2514 0.3138 0.5030
Tb 0.5000 0.8457 0.5000
Tb 0.7486 0.3138 0.5030
Tb 0.7514 0.6862 0.0030
Ho 0.0000 0.8504 0.5065
Ho 0.5000 0.1496 0.0065
Ni 0.0000 0.5032 0.2581
Ni 0.5000 0.4968 0.7581

Computed properties:
- total moment (μB per formula unit) = 0.00
- polymorph energy (0 for the lowest one) (meV/atom) = 99.5
- space group = No. 31
- DFT formation energy (eV/atom) = -0.069



# 20
Density functional theory data (PBE) for PrGd2Pu after structural relaxation.

Unit cell a=3.5278 b=3.5278 c=10.1034 alpha=90.00 beta=90.00 gamma=90.00
Atoms (fractional coordinates):
Pr 0.0000 0.0000 0.0000
Gd 0.5000 0.5000 0.2648
Gd 0.5000 0.5000 0.7352
Pu 0.0000 0.0000 0.5000

Computed properties:
- total moment (μB per formula unit) = 8.33
- polymorph energy (0 for the lowest one) (meV/atom) = 0.0
- space group = No. 123
- DFT formation energy (eV/atom) = 0.106